First-principles (GGA-PBE) data for a relaxed Li3Mg4Ag crystal, as listed in the Alexandria database.

Cell lengths 25.6256, 4.0547, 3.2562 Å; angles 90.00, 97.03, 90.00 degrees
Space group C2/m (No. 12)
Unique sites:
Li  0.0000  0.0000  0.0000 x2
Li  0.1545  0.0000  0.6528 x4
Mg  0.0918  0.5000  0.0919 x4
Mg  0.2154  0.5000  0.2145 x4
Ag  0.0000  0.5000  0.5000 x2

## Properties
E: -1.907 eV/atom
energy of formation from the pure elements: -0.036 eV/atom
DOS at the Fermi energy: 0.337 states/eV/atom



First-principles (GGA-PBE) data for a relaxed Li6MgAg8 crystal, as listed in the Alexandria database.

Cell lengths 7.6046, 7.6046, 16.1846 Å; angles 90.00, 90.00, 120.00 degrees
Space group R-3 (No. 148, hexagonal axes)
Unique sites:
Li  0.0180  0.7566  0.3832 x18
Mg  0.0000  0.0000  0.0000 x3
Ag  0.0000  0.0000  0.2502 x6
Ag  0.0064  0.2823  0.1204 x18

## Properties
E: -2.473 eV/atom
energy of formation from the pure elements: -0.080 eV/atom
DOS at the Fermi energy: 0.320 states/eV/atom



First-principles (GGA-PBE) data for a relaxed Li9Mg2Ag crystal, as listed in the Alexandria database.

Cell lengths 9.7116, 9.7116, 2.8513 Å; angles 90.00, 90.00, 120.00 degrees
Space group P6/mmm (No. 191)
Unique sites:
Li  0.0000  0.5000  0.0000 x3
Li  0.1620  0.3240  0.5000 x6
Mg  0.3333  0.6667  0.0000 x2
Ag  0.0000  0.0000  0.0000 x1

## Properties
E: -1.954 eV/atom
energy of formation from the pure elements: -0.015 eV/atom
DOS at the Fermi energy: 0.444 states/eV/atom



First-principles (GGA-PBE) data for a relaxed Li15Mg2Ag2 crystal, as listed in the Alexandria database.

Cell lengths 8.9014, 8.9014, 15.4055 Å; angles 90.00, 90.00, 120.00 degrees
Space group R-3m (No. 166, hexagonal axes)
Unique sites:
Li  0.0000  0.2783  0.0000 x18
Li  0.0000  0.5000  0.5000 x9
Li  0.0516  0.5258  0.1150 x18
Mg  0.0000  0.0000  0.2947 x6
Ag  0.0000  0.0000  0.1004 x6

## Properties
E: -1.980 eV/atom
energy of formation from the pure elements: -0.001 eV/atom
DOS at the Fermi energy: 0.235 states/eV/atom



First-principles (GGA-PBE) data for a relaxed Li9Mg3Ag2 crystal, as listed in the Alexandria database.

Cell lengths 4.5885, 10.0244, 11.4981 Å; angles 90.00, 90.00, 90.00 degrees
Space group Immm (No. 71)
Unique sites:
Li  0.0000  0.0000  0.0000 x2
Li  0.0000  0.1321  0.3693 x8
Li  0.0000  0.2207  0.1393 x8
Mg  0.0000  0.5000  0.0000 x2
Mg  0.0000  0.5000  0.2849 x4
Ag  0.0000  0.3517  0.5000 x4

## Properties
E: -2.057 eV/atom
energy of formation from the pure elements: -0.077 eV/atom
DOS at the Fermi energy: 0.376 states/eV/atom



First-principles (GGA-PBE) data for a relaxed Li4Mg4Ag3 crystal, as listed in the Alexandria database.

Cell lengths 2.9988, 4.5899, 15.0100 Å; angles 98.73, 93.44, 90.18 degrees
Space group P-1 (No. 2)
Unique sites:
Li  0.1318  0.2729  0.0481 x2
Li  0.2103  0.9092  0.3231 x2
Mg  0.3673  0.5510  0.5962 x2
Mg  0.4449  0.1787  0.8543 x2
Ag  0.0000  0.0000  0.5000 x1
Ag  0.0066  0.3635  0.2292 x2

## Properties
E: -2.197 eV/atom
energy of formation from the pure elements: -0.143 eV/atom
DOS at the Fermi energy: 0.361 states/eV/atom



First-principles (GGA-PBE) data for a relaxed Li2MgAg3 crystal, as listed in the Alexandria database.

Cell lengths 3.2084, 3.2084, 9.7731 Å; angles 90.00, 90.00, 90.00 degrees
Space group P4/mmm (No. 123)
Unique sites:
Li  0.0000  0.0000  0.1579 x2
Mg  0.0000  0.0000  0.5000 x1
Ag  0.5000  0.5000  0.0000 x1
Ag  0.5000  0.5000  0.3169 x2

## Properties
E: -2.547 eV/atom
energy of formation from the pure elements: -0.218 eV/atom
DOS at the Fermi energy: 0.364 states/eV/atom



First-principles (GGA-PBE) data for a relaxed Li5Mg3Ag2 crystal, as listed in the Alexandria database.

Cell lengths 7.1746, 19.0013, 5.7668 Å; angles 90.00, 90.00, 90.00 degrees
Space group Ibam (No. 72)
Unique sites:
Li  0.0000  0.0000  0.2500 x4
Li  0.0000  0.3424  0.2500 x8
Li  0.1716  0.2221  0.0000 x8
Mg  0.0000  0.5000  0.2500 x4
Mg  0.1574  0.1203  0.5000 x8
Ag  0.2345  0.0823  0.0000 x8

## Properties
E: -2.095 eV/atom
energy of formation from the pure elements: -0.089 eV/atom
DOS at the Fermi energy: 0.371 states/eV/atom



First-principles (GGA-PBE) data for a relaxed Li8Mg2Ag crystal, as listed in the Alexandria database.

Cell lengths 9.9276, 5.8876, 7.5233 Å; angles 90.00, 97.17, 90.00 degrees
Space group C2/m (No. 12)
Unique sites:
Li  0.1027  0.2498  0.2809 x8
Li  0.1447  0.0000  0.5913 x4
Li  0.1804  0.0000  0.9648 x4
Mg  0.1361  0.5000  0.6611 x4
Ag  0.0000  0.5000  0.0000 x2

## Properties
E: -1.956 eV/atom
energy of formation from the pure elements: -0.015 eV/atom
DOS at the Fermi energy: 0.375 states/eV/atom



First-principles (GGA-PBE) data for a relaxed Li4Mg10Ag crystal, as listed in the Alexandria database.

Cell lengths 10.6429, 10.6429, 6.4905 Å; angles 90.00, 90.00, 90.00 degrees
Space group I4/m (No. 87)
Unique sites:
Li  0.1003  0.6974  0.0000 x8
Mg  0.0000  0.5000  0.2500 x4
Mg  0.0999  0.1947  0.2512 x16
Ag  0.0000  0.0000  0.5000 x2

## Properties
E: -1.587 eV/atom
energy of formation from the pure elements: 0.176 eV/atom
DOS at the Fermi energy: 0.549 states/eV/atom



First-principles (GGA-PBE) data for a relaxed Li2Mg3Ag8 crystal, as listed in the Alexandria database.

Cell lengths 5.5026, 5.5026, 29.1155 Å; angles 90.00, 90.00, 120.00 degrees
Space group R-3m (No. 166, hexagonal axes)
Unique sites:
Li  0.0000  0.0000  0.1362 x6
Mg  0.0000  0.0000  0.3144 x6
Mg  0.0000  0.0000  0.5000 x3
Ag  0.0000  0.0000  0.2220 x6
Ag  0.0008  0.5004  0.2704 x18

## Properties
E: -2.449 eV/atom
energy of formation from the pure elements: -0.032 eV/atom
DOS at the Fermi energy: 0.318 states/eV/atom



First-principles (GGA-PBE) data for a relaxed Li2Mg3Ag8 crystal, as listed in the Alexandria database.

Cell lengths 6.7335, 4.2562, 8.4771 Å; angles 90.00, 105.97, 90.00 degrees
Space group P2/m (No. 10)
Unique sites:
Li  0.1941  0.0000  0.0803 x2
Mg  0.2254  0.5000  0.5893 x2
Mg  0.5000  0.0000  0.5000 x1
Ag  0.0533  0.0000  0.3469 x2
Ag  0.1231  0.5000  0.8879 x2
Ag  0.3339  0.5000  0.2709 x2
Ag  0.3952  0.0000  0.8212 x2

## Properties
E: -2.534 eV/atom
energy of formation from the pure elements: -0.117 eV/atom
DOS at the Fermi energy: 0.315 states/eV/atom



First-principles (GGA-PBE) data for a relaxed Li6MgAg2 crystal, as listed in the Alexandria database.

Cell lengths 5.6400, 8.0217, 7.2237 Å; angles 90.00, 98.44, 90.00 degrees
Space group P2_1/c (No. 14)
Unique sites:
Li  0.0046  0.1699  0.4924 x4
Li  0.1699  0.0032  0.1584 x4
Li  0.3604  0.6641  0.3465 x4
Mg  0.5000  0.0000  0.5000 x2
Ag  0.3213  0.1650  0.8206 x4

## Properties
E: -2.201 eV/atom
energy of formation from the pure elements: -0.114 eV/atom
DOS at the Fermi energy: 0.416 states/eV/atom



First-principles (GGA-PBE) data for a relaxed LiMgAg crystal, as listed in the Alexandria database.

Cell lengths 4.6405, 4.6505, 5.7840 Å; angles 89.71, 89.94, 60.11 degrees
Space group P1 (No. 1)
Unique sites:
Li  0.0000  0.0000  0.0000 x1
Li  0.3334  0.3332  0.1647 x1
Mg  0.0004  0.0001  0.4924 x1
Mg  0.6671  0.6663  0.8177 x1
Ag  0.3337  0.3332  0.6632 x1
Ag  0.6669  0.6665  0.3122 x1

## Properties
E: -2.325 eV/atom
energy of formation from the pure elements: -0.205 eV/atom
DOS at the Fermi energy: 0.379 states/eV/atom



First-principles (GGA-PBE) data for a relaxed Li8Mg4Ag crystal, as listed in the Alexandria database.

Cell lengths 3.2305, 4.8645, 16.4456 Å; angles 90.00, 90.00, 90.00 degrees
Space group Pmm2 (No. 25)
Unique sites:
Li  0.0000  0.0000  0.0000 x1
Li  0.0000  0.0000  0.2655 x1
Li  0.0000  0.5000  0.4374 x1
Li  0.0000  0.5000  0.7564 x1
Li  0.5000  0.0000  0.1366 x1
Li  0.5000  0.0000  0.7162 x1
Li  0.5000  0.5000  0.2732 x1
Li  0.5000  0.5000  0.5946 x1
Mg  0.0000  0.0000  0.5667 x1
Mg  0.0000  0.5000  0.1074 x1
Mg  0.5000  0.0000  0.4087 x1
Mg  0.5000  0.5000  0.9188 x1
Ag  0.0000  0.0000  0.8469 x1

## Properties
E: -1.920 eV/atom
energy of formation from the pure elements: -0.032 eV/atom
DOS at the Fermi energy: 0.472 states/eV/atom



First-principles (GGA-PBE) data for a relaxed LiMg7Ag5 crystal, as listed in the Alexandria database.

Cell lengths 5.6580, 9.7279, 9.6746 Å; angles 90.00, 90.00, 90.00 degrees
Space group Imm2 (No. 44)
Unique sites:
Li  0.0000  0.0000  0.0000 x2
Mg  0.0000  0.0000  0.3231 x2
Mg  0.0000  0.0000  0.6572 x2
Mg  0.0000  0.3148  0.4434 x4
Mg  0.0000  0.3341  0.9589 x4
Mg  0.0000  0.5000  0.6880 x2
Ag  0.0000  0.5000  0.2147 x2
Ag  0.2487  0.2399  0.1998 x8

## Properties
E: -2.248 eV/atom
energy of formation from the pure elements: -0.146 eV/atom
DOS at the Fermi energy: 0.370 states/eV/atom



First-principles (GGA-PBE) data for a relaxed Li5Mg12Ag3 crystal, as listed in the Alexandria database.

Cell lengths 16.3331, 16.3331, 16.3331 Å; angles 90.00, 90.00, 90.00 degrees
Space group Ia-3d (No. 230)
Unique sites:
Li  0.0000  0.0000  0.0000 x16
Li  0.0000  0.2500  0.3750 x24
Mg  0.0108  0.0818  0.6472 x96
Ag  0.0000  0.2500  0.1250 x24

## Properties
E: -1.539 eV/atom
energy of formation from the pure elements: 0.324 eV/atom
DOS at the Fermi energy: 0.547 states/eV/atom